5
Lattice="6.3698 0.0000 0.0000 0.0000 6.3698 0.0000 0.0000 0.0000 6.3698" Properties=species:S:1:pos:R:3 comment="Ba3CdAu GGA-PBE relaxed" relative_energy_mev_per_atom=131.6 delta_e_f_ev_per_atom=-0.257 spacegroup="No. 221" total_energy_ev_per_atom=-2.249 pbc="T T T"
Au 0.0000 0.0000 0.0000
Cd 3.1849 3.1849 3.1849
Ba 3.1849 0.0000 0.0000
Ba 0.0000 0.0000 3.1849
Ba 0.0000 3.1849 0.0000

4
Lattice="-2.8035 -2.6383 -0.9987 2.7616 -2.8490 -0.2262 -0.9904 -1.4940 6.7269" Properties=species:S:1:pos:R:3 comment="BaCdAu2 GGA-PBE relaxed" delta_e_f_ev_per_atom=-0.352 spacegroup="No. 99" total_energy_ev_per_atom=-2.700 pbc="T T T"
Au -0.9605 -1.4490 6.5241
Au -0.2474 -3.0852 0.9254
Cd -0.8397 -3.9787 4.9487
Ba -0.4703 -0.7094 3.1942

4
Lattice="5.1336 0.0000 0.0000 0.0000 5.0896 0.9889 0.0000 4.2771 5.0486" Properties=species:S:1:pos:R:3 comment="BaCdAu2 GGA-PBE relaxed" delta_e_f_ev_per_atom=-0.370 spacegroup="No. 10" total_energy_ev_per_atom=-2.718 pbc="T T T"
Au 2.5668 2.5448 0.4944
Au 0.0000 0.0000 0.0000
Ba 2.5668 4.6834 3.0187
Cd 0.0000 2.1386 2.5243

7
Lattice="-0.9062 -1.6906 5.4434 0.1973 -5.8579 1.2732 4.6989 -0.4593 3.6992" Properties=species:S:1:pos:R:3 comment="BaCd2Au4 GGA-PBE relaxed" delta_e_f_ev_per_atom=-0.443 spacegroup="No. 139" total_energy_ev_per_atom=-2.852 pbc="T T T"
Cd 2.2215 -3.5812 3.8470
Cd 1.7685 -4.4265 6.5687
Au 1.5283 -0.6968 3.0976
Au -0.5059 -4.7754 4.5519
Au 2.2644 -1.4530 6.0449
Au -0.2030 -2.7731 2.1646
Ba 0.0000 0.0000 0.0000

4
Lattice="-1.5241 5.6593 -1.1362 -5.0517 1.4287 2.8427 5.4742 -2.0236 1.2566" Properties=species:S:1:pos:R:3 comment="BaCdAu2 GGA-PBE relaxed" delta_e_f_ev_per_atom=-0.360 spacegroup="No. 44" total_energy_ev_per_atom=-2.708 pbc="T T T"
Au 0.1088 3.8295 0.5445
Au -6.5181 7.0258 1.6915
Ba -3.3299 3.5893 0.8642
Cd -1.2259 1.2517 2.4226

10
Lattice="4.1684 0.0000 0.0000 0.0000 4.1684 0.0000 0.0000 0.0000 21.5291" Properties=species:S:1:pos:R:3 comment="Ba5Cd4Au GGA-PBE relaxed" delta_e_f_ev_per_atom=-0.388 spacegroup="No. 123" total_energy_ev_per_atom=-2.043 pbc="T T T"
Au 0.0000 0.0000 0.0000
Cd 0.0000 0.0000 4.2126
Cd 0.0000 0.0000 17.3165
Cd 0.0000 0.0000 8.5581
Cd 0.0000 0.0000 12.9710
Ba 2.0842 2.0842 6.3929
Ba 2.0842 2.0842 1.9579
Ba 2.0842 2.0842 10.7646
Ba 2.0842 2.0842 19.5712
Ba 2.0842 2.0842 15.1362

80
Lattice="17.3631 0.0000 0.0000 -5.7877 16.3701 0.0000 -5.7877 -8.1850 14.1769" Properties=species:S:1:pos:R:3 comment="Ba12Cd3Au5 GGA-PBE relaxed" delta_e_f_ev_per_atom=-0.312 spacegroup="No. 230" total_energy_ev_per_atom=-2.422 pbc="T T T"
Ba -3.5824 9.2939 11.1376
Ba -1.6189 -4.3721 10.1277
Ba -2.1884 -0.0434 11.6970
Ba -0.7055 10.3110 1.2776
Ba 3.0129 -2.7524 8.2908
Ba -5.0992 7.2790 7.6478
Ba 11.6944 -3.7213 8.8502
Ba 0.6885 10.1999 9.5684
Ba 11.4563 1.7113 0.5594
Ba 6.4762 7.0762 11.1376
Ba 10.8869 0.9060 6.5291
Ba 12.8503 3.8130 4.0491
Ba 10.3004 -5.6927 12.4152
Ba -4.5128 13.8777 1.7617
Ba -1.2749 9.5057 5.8109
Ba 2.1884 -2.1694 12.9745
Ba 7.4066 12.5571 4.0491
Ba -3.0129 3.7213 8.8502
Ba -2.2053 -0.9060 6.5291
Ba -7.0626 4.3721 10.1277
Ba -5.6686 6.4737 13.6175
Ba 4.1688 6.8644 5.8109
Ba 7.0626 -1.3206 8.3660
Ba 2.7748 10.9375 5.8861
Ba 6.4932 2.1694 12.9745
Ba 2.2053 6.1702 9.5684
Ba 7.4066 2.4923 1.7617
Ba 5.0992 -2.0148 4.6085
Ba 3.5993 10.3544 1.2024
Ba 7.9761 8.2285 2.4799
Ba -0.6885 1.1088 3.0393
Ba 1.6189 1.3206 8.3660
Ba -6.4932 0.0434 11.6970
Ba 12.2809 8.1416 2.4799
Ba 3.5993 6.0591 1.2776
Ba 7.9930 9.0910 7.6478
Ba 0.1191 5.4326 5.8861
Ba 9.3701 -1.1088 3.0393
Ba 8.8006 4.4638 5.3267
Ba 8.8006 14.6587 0.5594
Ba 2.1884 2.1260 12.8993
Ba -5.9068 11.9063 5.3267
Ba 5.6686 2.7524 8.2908
Ba 6.4932 -2.1260 12.8993
Ba -1.6189 5.6927 12.4152
Ba -3.0129 -6.4737 13.6175
Ba -0.7055 6.0156 1.2024
Ba 3.5824 2.0148 4.6085
Cd 7.2346 1.0231 5.3163
Cd 4.3408 9.2082 8.8606
Cd 1.4469 -1.0231 5.3163
Cd -4.3408 -3.0694 12.4048
Cd -7.2346 8.1850 10.6327
Cd 13.0223 0.0000 3.5442
Cd -4.3408 3.0694 12.4048
Cd 4.3408 0.0000 10.6327
Cd 10.1285 11.2544 1.7721
Cd -1.4469 7.1619 8.8606
Cd 10.1285 5.1156 1.7721
Cd 1.4469 8.1850 3.5442
Au 7.2346 4.0925 10.6327
Au -2.8938 -4.0925 7.0884
Au -5.7877 4.0925 7.0884
Au 10.1285 -1.0231 8.8606
Au -2.8938 8.1850 0.0000
Au 8.6815 0.0000 0.0000
Au 7.2346 -5.1156 12.4048
Au 1.4469 -4.0925 10.6327
Au 1.4469 5.1156 12.4048
Au 0.0000 0.0000 0.0000
Au -1.4469 4.0925 3.5442
Au 4.3408 3.0694 1.7721
Au 2.8938 4.0925 7.0884
Au 4.3408 12.2775 3.5442
Au 5.7877 8.1850 0.0000
Au 7.2346 7.1619 5.3163
Au 5.7877 -4.0925 7.0884
Au -4.3408 9.2082 5.3163
Au -1.4469 13.3007 1.7721
Au -1.4469 1.0231 8.8606

14
Lattice="4.6854 0.0000 0.7058 2.3106 6.2772 0.5663 0.0299 0.0176 15.7068" Properties=species:S:1:pos:R:3 comment="Ba3CdAu3 GGA-PBE relaxed" relative_energy_mev_per_atom=0.0 delta_e_f_ev_per_atom=-0.638 spacegroup="No. 12" total_energy_ev_per_atom=-2.997 pbc="T T T"
Au 1.2773 1.8489 7.4258
Au 4.4999 0.9322 1.9373
Au 6.4583 5.2661 4.8414
Au 2.5260 5.3625 15.0415
Au 0.5676 1.0287 12.1374
Au 5.7486 4.4458 9.5530
Cd 3.7473 0.5045 6.9334
Cd 3.2786 5.7902 10.0454
Ba 5.2275 4.7067 13.0125
Ba 2.5425 1.7643 14.9320
Ba 3.2540 2.0635 10.2084
Ba 4.4834 4.5305 2.0468
Ba 1.7984 1.5881 3.9663
Ba 3.7719 4.2313 6.7704

12
Lattice="-1.5708 2.5646 -3.4641 -8.7324 1.1017 1.7377 1.5432 9.6281 3.3907" Properties=species:S:1:pos:R:3 comment="Ba5Cd2Au5 GGA-PBE relaxed" delta_e_f_ev_per_atom=-0.585 spacegroup="No. 12" total_energy_ev_per_atom=-2.904 pbc="T T T"
Au -6.0703 2.5002 1.5659
Au -2.6898 10.7942 0.0983
Au -6.1554 7.7422 2.4478
Au 0.0000 0.0000 0.0000
Au -2.6046 5.5522 -0.7836
Ba -2.7952 1.9290 -0.3419
Ba -3.5946 5.3649 2.5642
Ba -0.5186 8.1787 0.2150
Ba -5.9648 11.3653 2.0062
Ba -8.2414 5.1157 1.4492
Cd -5.2816 4.4265 -0.4031
Cd -3.4784 8.8679 2.0673

19
Lattice="7.7411 0.1054 0.1484 -1.8168 7.5256 0.1484 -1.8168 -2.3402 7.1541" Properties=species:S:1:pos:R:3 comment="BaCd6Au12 GGA-PBE relaxed" delta_e_f_ev_per_atom=-0.178 spacegroup="No. 166" total_energy_ev_per_atom=-2.638 pbc="T T T"
Cd 0.4678 0.6025 5.0211
Cd 3.6398 4.6883 2.4298
Cd -0.1768 3.7118 5.2272
Cd 4.2843 1.5790 2.2237
Cd 0.4678 4.5420 2.2237
Cd 3.6398 0.7489 5.2272
Au 1.9498 0.0078 2.6629
Au 5.7604 3.5938 1.0086
Au 2.0538 -1.1806 6.4423
Au -1.6529 1.6970 6.4423
Au 4.5833 3.3999 4.7880
Au 2.1577 5.2831 4.7880
Au -1.6529 5.5230 3.7255
Au 5.7604 -0.2322 3.7255
Au -0.4758 1.8909 2.6629
Au 2.1577 2.7793 6.5660
Au 2.0538 6.4715 1.0086
Au 1.9498 2.5116 0.8850
Ba 0.0000 0.0000 0.0000

8
Lattice="4.6139 0.0000 0.0000 0.0000 5.0291 0.0000 0.0000 0.0000 12.4854" Properties=species:S:1:pos:R:3 comment="Ba4CdAu3 GGA-PBE relaxed" delta_e_f_ev_per_atom=-0.606 spacegroup="No. 25" total_energy_ev_per_atom=-2.911 pbc="T T T"
Ba 2.3070 0.0000 7.9238
Ba 0.0000 0.0000 1.7805
Ba 0.0000 2.5146 10.6475
Ba 2.3070 2.5146 4.6381
Au 0.0000 0.0000 5.3078
Au 2.3070 0.0000 11.6045
Au 0.0000 2.5146 7.2071
Cd 2.3070 2.5146 0.8320

8
Lattice="-0.5484 4.4902 0.2928 -0.3743 -0.3394 4.5048 9.8362 1.1423 0.9032" Properties=species:S:1:pos:R:3 comment="BaCd4Au3 GGA-PBE relaxed" delta_e_f_ev_per_atom=-0.374 spacegroup="No. 123" total_energy_ev_per_atom=-2.301 pbc="T T T"
Cd 1.4430 2.4445 0.3041
Cd 7.9319 0.7732 2.9979
Cd 7.8448 3.1880 0.8919
Cd 1.5301 0.0297 2.4101
Au 3.0744 2.4860 2.7235
Au 0.0000 0.0000 0.0000
Au 5.8391 2.8071 2.9773
Ba 4.9181 0.5712 0.4516

14
Lattice="-1.5142 -4.2633 -0.2659 1.9490 -0.1595 -8.5418 8.0259 -2.9683 1.8867" Properties=species:S:1:pos:R:3 comment="BaCd4Au2 GGA-PBE relaxed" relative_energy_mev_per_atom=0.0 delta_e_f_ev_per_atom=-0.400 spacegroup="No. 136" total_energy_ev_per_atom=-2.134 pbc="T T T"
Ba -0.7571 -2.1316 -0.1330
Ba 4.9875 -1.5639 -3.3275
Cd 4.2648 -3.9010 -0.3626
Cd 6.8149 -4.7006 -2.0640
Cd 1.6458 -2.6905 -4.8570
Cd 8.6022 -2.8129 -3.8880
Cd 7.0487 -2.0948 -6.5540
Cd 2.9262 -1.0330 -0.1010
Cd 4.1959 -3.4901 -6.5583
Cd 1.3727 -0.3150 -2.7671
Au 6.7348 -2.3716 -0.3289
Au 6.3496 -4.3601 -4.8744
Au 3.2401 -0.7562 -6.3262
Au 2.1111 -3.0310 -2.0466

4
Lattice="-1.8501 4.6071 -1.1058 -3.5391 -0.8515 2.3734 2.4560 2.0526 4.4427" Properties=species:S:1:pos:R:3 comment="BaCdAu2 GGA-PBE relaxed" delta_e_f_ev_per_atom=-0.485 spacegroup="No. 6" total_energy_ev_per_atom=-2.833 pbc="T T T"
Cd -2.5467 3.0493 5.2673
Au 2.4194 2.0246 4.3872
Au -0.2479 2.8718 0.6815
Ba -0.6435 0.5156 3.2250

10
Lattice="4.7134 0.0000 0.0000 0.0000 4.7134 0.0000 0.0000 0.0000 11.6007" Properties=species:S:1:pos:R:3 comment="Ba2CdAu7 GGA-PBE relaxed" delta_e_f_ev_per_atom=-0.469 spacegroup="No. 115" total_energy_ev_per_atom=-3.239 pbc="T T T"
Au 2.3567 0.0000 1.5668
Au 2.3567 2.3567 5.8003
Au 0.0000 2.3567 10.0339
Au 0.0000 0.0000 5.8003
Au 0.0000 2.3567 7.3406
Au 2.3567 0.0000 4.2601
Au 0.0000 0.0000 0.0000
Cd 2.3567 2.3567 0.0000
Ba 2.3567 0.0000 8.5375
Ba 0.0000 2.3567 3.0632

5
Lattice="-4.7933 -4.7519 0.6402 2.1963 -1.3712 6.2660 -4.2623 4.6374 2.5088" Properties=species:S:1:pos:R:3 comment="BaCd3Au GGA-PBE relaxed" relative_energy_mev_per_atom=1121.0 delta_e_f_ev_per_atom=0.735 spacegroup="No. 221" total_energy_ev_per_atom=-0.854 pbc="T T T"
Au -3.4296 -0.7428 4.7075
Ba 0.0000 0.0000 0.0000
Cd -2.3967 -2.3760 0.3201
Cd 1.0981 -0.6856 3.1330
Cd -2.1311 2.3187 1.2544

12
Lattice="6.6942 0.7456 0.0000 0.3317 6.7274 0.0000 -3.5130 -3.7365 8.7378" Properties=species:S:1:pos:R:3 comment="Ba2Cd3Au GGA-PBE relaxed" delta_e_f_ev_per_atom=-0.433 spacegroup="No. 69" total_energy_ev_per_atom=-2.078 pbc="T T T"
Cd -1.7377 -1.8483 7.2540
Cd 0.0000 0.0000 2.9574
Cd 1.7377 1.8483 7.2540
Cd 5.2506 5.5848 1.4839
Cd 3.5130 3.7365 5.7804
Cd 1.7753 1.8883 1.4839
Au 0.0000 0.0000 5.8469
Au 3.5130 3.7365 2.8909
Ba 5.0661 2.2763 0.0000
Ba 1.9598 5.1968 0.0000
Ba 3.3471 0.3728 4.3689
Ba 0.1659 3.3637 4.3689

10
Lattice="4.7457 0.0000 0.0000 0.0000 4.7457 0.0000 0.0000 0.0000 12.7240" Properties=species:S:1:pos:R:3 comment="Ba2Cd7Au GGA-PBE relaxed" delta_e_f_ev_per_atom=-0.305 spacegroup="No. 115" total_energy_ev_per_atom=-1.658 pbc="T T T"
Ba 2.3729 0.0000 9.6434
Ba 0.0000 2.3729 3.0806
Au 2.3729 2.3729 0.0000
Cd 2.3729 0.0000 4.5562
Cd 0.0000 2.3729 8.1678
Cd 2.3729 0.0000 1.6613
Cd 0.0000 0.0000 6.3620
Cd 0.0000 0.0000 0.0000
Cd 0.0000 2.3729 11.0627
Cd 2.3729 2.3729 6.3620

4
Lattice="-0.5895 3.2209 -2.0459 -3.7230 -0.1320 0.8649 -2.5160 3.8039 6.7134" Properties=species:S:1:pos:R:3 comment="BaCdAu2 GGA-PBE relaxed" delta_e_f_ev_per_atom=-0.439 spacegroup="No. 10" total_energy_ev_per_atom=-2.787 pbc="T T T"
Au -3.0590 2.0275 4.0733
Au -2.5765 3.6124 6.4294
Ba -1.8545 2.5285 0.8716
Cd -4.9740 4.3644 4.6608

16
Lattice="-2.0435 -3.6456 -2.3008 6.5248 -0.9615 0.6744 -2.8993 -8.4628 15.9841" Properties=species:S:1:pos:R:3 comment="Ba3Cd3Au2 GGA-PBE relaxed" delta_e_f_ev_per_atom=-0.492 spacegroup="No. 63" total_energy_ev_per_atom=-2.376 pbc="T T T"
Au 0.7131 -8.8340 8.4180
Au -0.0541 -11.0734 12.6476
Au 0.8689 -4.2358 5.9398
Au 1.6361 -1.9965 1.7102
Ba 1.9916 -7.3600 4.9468
Ba -1.3032 -8.3181 14.3373
Ba -0.5344 -4.5518 2.7408
Ba 2.8852 -4.7517 0.0205
Ba 2.1163 -8.5181 11.6170
Ba -0.4096 -5.7098 9.4109
Cd -1.2617 -6.1599 5.9347
Cd 2.8437 -6.9100 8.4230
Cd 2.8022 -3.9002 3.6910
Cd -0.1078 -2.7916 -0.4271
Cd -1.2202 -9.1696 10.6668
Cd 1.6898 -10.2783 14.7849